Record 1
# PBE ZrIrN2, relaxed
# E above lowest polymorph = 39.8 meV/atom
# formation energy from raw total energies = -1.995 eV per formula unit
# total magnetization = 0.000 μB/atom
# DOS(E_F) = 1.1 states/eV per cell
data_ZrIrN2
_chemical_formula_sum 'Zr4 Ir4 N8'
_space_group_name_H-M_alt 'C 1 m 1'
_space_group_IT_number 8
_cell_length_a 11.693
_cell_length_b 3.089
_cell_length_c 6.187
_cell_angle_alpha 90.00
_cell_angle_beta 118.14
_cell_angle_gamma 90.00
loop_
_space_group_symop_operation_xyz
'x,y,z'
'x,-y,z'
'x+1/2,y+1/2,z'
'x+1/2,-y+1/2,z'
loop_
_atom_site_label
_atom_site_type_symbol
_atom_site_fract_x
_atom_site_fract_y
_atom_site_fract_z
Zr1 Zr 0.000 0.000 0.000
Zr2 Zr 0.096 0.000 0.595
Ir1 Ir 0.329 0.000 0.570
Ir2 Ir 0.337 0.500 0.219
N1 N 0.002 0.500 0.274
N2 N 0.037 0.500 0.790
N3 N 0.222 0.000 0.203
N4 N 0.271 0.500 0.729



Record 2
# PBE ZrIr3N, relaxed
# E above lowest polymorph = 2775.3 meV/atom
# formation energy from raw total energies = 14.245 eV per formula unit
# total magnetization = 0.837 μB/atom
# DOS(E_F) = 6.9 states/eV per cell
data_ZrIr3N
_chemical_formula_sum 'Zr1 Ir3 N1'
_space_group_name_H-M_alt 'P m -3 m'
_space_group_IT_number 221
_space_group_name_Hall '-P 4 2 3'
_cell_length_a 4.934
_cell_length_b 4.934
_cell_length_c 4.934
_cell_angle_alpha 90.00
_cell_angle_beta 90.00
_cell_angle_gamma 90.00
loop_
_atom_site_label
_atom_site_type_symbol
_atom_site_fract_x
_atom_site_fract_y
_atom_site_fract_z
Zr1 Zr 0.000 0.000 0.000
Ir1 Ir 0.000 0.000 0.500
N1 N 0.500 0.500 0.500



Record 3
# PBE Na3Ir, relaxed
# total magnetization = 0.023 μB/atom
# electronic total energy = -2.674 eV/atom
# DOS(E_F) = 3.2 states/eV per cell
data_Na3Ir
_chemical_formula_sum 'Na6 Ir2'
_space_group_name_H-M_alt 'I 4/m m m'
_space_group_IT_number 139
_space_group_name_Hall '-I 4 2'
_cell_length_a 4.519
_cell_length_b 4.519
_cell_length_c 8.459
_cell_angle_alpha 90.00
_cell_angle_beta 90.00
_cell_angle_gamma 90.00
loop_
_atom_site_label
_atom_site_type_symbol
_atom_site_fract_x
_atom_site_fract_y
_atom_site_fract_z
Na1 Na 0.000 0.000 0.000
Na2 Na 0.000 0.500 0.250
Ir1 Ir 0.000 0.000 0.500



Record 4
# PBE NaNbIr3, relaxed
# E above lowest polymorph = 0.0 meV/atom
# total magnetization = 0.000 μB/atom
# DOS(E_F) = 4.6 states/eV per cell
data_NaNbIr3
_chemical_formula_sum 'Na1 Nb1 Ir3'
_space_group_name_H-M_alt 'P m -3 m'
_space_group_IT_number 221
_space_group_name_Hall '-P 4 2 3'
_cell_length_a 4.832
_cell_length_b 4.832
_cell_length_c 4.832
_cell_angle_alpha 90.00
_cell_angle_beta 90.00
_cell_angle_gamma 90.00
loop_
_atom_site_label
_atom_site_type_symbol
_atom_site_fract_x
_atom_site_fract_y
_atom_site_fract_z
Na1 Na 0.000 0.000 0.000
Nb1 Nb 0.500 0.500 0.500
Ir1 Ir 0.000 0.500 0.500



Record 5
# PBE Na3NbIr, relaxed
# E above lowest polymorph = 0.0 meV/atom
# total magnetization = 0.786 μB/atom
# DOS(E_F) = 7.2 states/eV per cell
data_Na3NbIr
_chemical_formula_sum 'Na3 Nb1 Ir1'
_space_group_name_H-M_alt 'P m -3 m'
_space_group_IT_number 221
_space_group_name_Hall '-P 4 2 3'
_cell_length_a 5.343
_cell_length_b 5.343
_cell_length_c 5.343
_cell_angle_alpha 90.00
_cell_angle_beta 90.00
_cell_angle_gamma 90.00
loop_
_atom_site_label
_atom_site_type_symbol
_atom_site_fract_x
_atom_site_fract_y
_atom_site_fract_z
Na1 Na 0.000 0.000 0.500
Nb1 Nb 0.500 0.500 0.500
Ir1 Ir 0.000 0.000 0.000



Record 6
# PBE Na3NbIr, relaxed
# E above lowest polymorph = 586.3 meV/atom
# total magnetization = 1.002 μB/atom
# DOS(E_F) = 11.9 states/eV per cell
data_Na3NbIr
_chemical_formula_sum 'Na3 Nb1 Ir1'
_space_group_name_H-M_alt 'P m -3 m'
_space_group_IT_number 221
_space_group_name_Hall '-P 4 2 3'
_cell_length_a 5.547
_cell_length_b 5.547
_cell_length_c 5.547
_cell_angle_alpha 90.00
_cell_angle_beta 90.00
_cell_angle_gamma 90.00
loop_
_atom_site_label
_atom_site_type_symbol
_atom_site_fract_x
_atom_site_fract_y
_atom_site_fract_z
Na1 Na 0.000 0.000 0.500
Nb1 Nb 0.000 0.000 0.000
Ir1 Ir 0.500 0.500 0.500



Record 7
# PBE NaNb2IrO8, relaxed
# formation energy from raw total energies = -22.323 eV per formula unit
# total magnetization = 0.000 μB/atom
# DOS(E_F) = 8.9 states/eV per cell
data_NaNb2IrO8
_chemical_formula_sum 'Na2 Nb4 Ir2 O16'
_space_group_name_H-M_alt 'C m m m'
_space_group_IT_number 65
_space_group_name_Hall '-C 2 2'
_cell_length_a 6.673
_cell_length_b 6.847
_cell_length_c 6.394
_cell_angle_alpha 90.00
_cell_angle_beta 90.00
_cell_angle_gamma 90.00
loop_
_atom_site_label
_atom_site_type_symbol
_atom_site_fract_x
_atom_site_fract_y
_atom_site_fract_z
Na1 Na 0.000 0.000 0.000
Nb1 Nb 0.000 0.500 0.240
Ir1 Ir 0.000 0.000 0.500
O1 O 0.000 0.290 0.500
O2 O 0.000 0.318 0.000
O3 O 0.213 0.000 0.290



Record 8
# PBE Na2NbIrO6, relaxed
# formation energy from raw total energies = -16.709 eV per formula unit
# total magnetization = 0.058 μB/atom
# DOS(E_F) = 4.3 states/eV per cell
data_Na2NbIrO6
_chemical_formula_sum 'Na2 Nb1 Ir1 O6'
_space_group_name_H-M_alt 'P 4 m m'
_space_group_IT_number 99
_cell_length_a 5.584
_cell_length_b 5.584
_cell_length_c 3.933
_cell_angle_alpha 90.00
_cell_angle_beta 90.00
_cell_angle_gamma 90.00
loop_
_space_group_symop_operation_xyz
'x,y,z'
'-y,x,z'
'-x,-y,z'
'y,-x,z'
'-x,y,z'
'y,x,z'
'x,-y,z'
'-y,-x,z'
loop_
_atom_site_label
_atom_site_type_symbol
_atom_site_fract_x
_atom_site_fract_y
_atom_site_fract_z
Na1 Na 0.000 0.500 0.000
Nb1 Nb 0.000 0.000 0.499
Ir1 Ir 0.500 0.500 0.498
O1 O 0.000 0.000 0.998
O2 O 0.252 0.252 0.498
O3 O 0.500 0.500 0.998